Arrangement one

Below is an optimized crystal structure of BeAg3W, with properties calculated at the GGA-PBE level.

a b c (Å): 5.0948 5.0948 5.0948
angles (deg): 90.00 90.00 90.00
Space group Pm-3m (No. 221)
Inequivalent atoms, fractional coordinates:
Be1 0.0000 0.0000 0.0000 [1 per cell]
Ag1 0.0000 0.5000 0.5000 [3 per cell]
W1 0.5000 0.5000 0.5000 [1 per cell]

=====

Arrangement two

Below is an optimized crystal structure of BeAg3W, with properties calculated at the GGA-PBE level.

a b c (Å): 4.3264 4.3264 4.3264
angles (deg): 90.00 90.00 90.00
Space group Pm-3m (No. 221)
Inequivalent atoms, fractional coordinates:
Be1 0.0000 0.0000 0.0000 [1 per cell]
Ag1 0.0000 0.0000 0.5000 [3 per cell]
W1 0.5000 0.5000 0.5000 [1 per cell]

=====

Tell me which of them is the most stable. Sure, it is arrangement two.

=====

Arrangement one

Below is an optimized crystal structure of Be3AgW, with properties calculated at the GGA-PBE level.

a b c (Å): 4.3422 4.3422 4.3422
angles (deg): 90.00 90.00 90.00
Space group Pm-3m (No. 221)
Inequivalent atoms, fractional coordinates:
Be1 0.0000 0.0000 0.5000 [3 per cell]
Ag1 0.5000 0.5000 0.5000 [1 per cell]
W1 0.0000 0.0000 0.0000 [1 per cell]

=====

Arrangement two

Below is an optimized crystal structure of Be3AgW, with properties calculated at the GGA-PBE level.

a b c (Å): 4.0962 4.0962 4.0962
angles (deg): 90.00 90.00 90.00
Space group Pm-3m (No. 221)
Inequivalent atoms, fractional coordinates:
Be1 0.0000 0.0000 0.5000 [3 per cell]
Ag1 0.0000 0.0000 0.0000 [1 per cell]
W1 0.5000 0.5000 0.5000 [1 per cell]

=====

Tell me which of them is the most stable. Sure, it is arrangement two.

=====

Arrangement one

Below is an optimized crystal structure of BeZnAg3, with properties calculated at the GGA-PBE level.

a b c (Å): 4.7813 4.7813 4.7813
angles (deg): 90.00 90.00 90.00
Space group Pm-3m (No. 221)
Inequivalent atoms, fractional coordinates:
Be1 0.0000 0.0000 0.0000 [1 per cell]
Zn1 0.5000 0.5000 0.5000 [1 per cell]
Ag1 0.0000 0.5000 0.5000 [3 per cell]

=====

Arrangement two

Below is an optimized crystal structure of BeZnAg3, with properties calculated at the GGA-PBE level.

a b c (Å): 4.4330 4.4330 4.4330
angles (deg): 90.00 90.00 90.00
Space group Pm-3m (No. 221)
Inequivalent atoms, fractional coordinates:
Be1 0.0000 0.0000 0.0000 [1 per cell]
Zn1 0.5000 0.5000 0.5000 [1 per cell]
Ag1 0.0000 0.0000 0.5000 [3 per cell]

=====

Tell me which of them is the most stable. Sure, it is arrangement two.

=====

Arrangement one

Below is an optimized crystal structure of ZrBe3Ag, with properties calculated at the GGA-PBE level.

a b c (Å): 4.2248 4.2248 4.2248
angles (deg): 90.00 90.00 90.00
Space group Pm-3m (No. 221)
Inequivalent atoms, fractional coordinates:
Zr1 0.0000 0.0000 0.0000 [1 per cell]
Be1 0.0000 0.5000 0.5000 [3 per cell]
Ag1 0.5000 0.5000 0.5000 [1 per cell]

=====

Arrangement two

Below is an optimized crystal structure of ZrBe3Ag, with properties calculated at the GGA-PBE level.

a b c (Å): 4.6949 4.6949 4.6949
angles (deg): 90.00 90.00 90.00
Space group Pm-3m (No. 221)
Inequivalent atoms, fractional coordinates:
Zr1 0.0000 0.0000 0.0000 [1 per cell]
Be1 0.0000 0.0000 0.5000 [3 per cell]
Ag1 0.5000 0.5000 0.5000 [1 per cell]

=====

Tell me which of them is the most stable. Sure, it is arrangement one.

=====

Arrangement one

Below is an optimized crystal structure of Ag3BiBr, with properties calculated at the GGA-PBE level.

a b c (Å): 5.2155 5.2155 5.2155
angles (deg): 90.00 90.00 90.00
Space group Pm-3m (No. 221)
Inequivalent atoms, fractional coordinates:
Ag1 0.0000 0.0000 0.5000 [3 per cell]
Bi1 0.5000 0.5000 0.5000 [1 per cell]
Br1 0.0000 0.0000 0.0000 [1 per cell]

=====

Arrangement two

Below is an optimized crystal structure of Ag3BiBr, with properties calculated at the GGA-PBE level.

a b c (Å): 5.4492 5.4492 5.4492
angles (deg): 90.00 90.00 90.00
Space group Pm-3m (No. 221)
Inequivalent atoms, fractional coordinates:
Ag1 0.0000 0.0000 0.5000 [3 per cell]
Bi1 0.0000 0.0000 0.0000 [1 per cell]
Br1 0.5000 0.5000 0.5000 [1 per cell]

=====

Tell me which of them is the most stable. Sure, it is arrangement two.

=====

Arrangement one

Below is an optimized crystal structure of AgBi2Br, with properties calculated at the GGA-PBE level.

a b c (Å): 7.5160 7.5160 7.5160
angles (deg): 90.00 90.00 90.00
Space group Fm-3m (No. 225)
Inequivalent atoms, fractional coordinates:
Ag1 0.0000 0.0000 0.0000 [4 per cell]
Bi1 0.2500 0.2500 0.2500 [8 per cell]
Br1 0.0000 0.0000 0.5000 [4 per cell]

=====

Arrangement two

Below is an optimized crystal structure of AgBi2Br, with properties calculated at the GGA-PBE level.

a b c (Å): 4.6394 4.6394 22.6995
angles (deg): 90.00 90.00 90.00
Space group I-42d (No. 122)
Inequivalent atoms, fractional coordinates:
Ag1 0.0000 0.0000 0.0000 [4 per cell]
Bi1 0.2128 0.2500 0.1250 [8 per cell]
Br1 0.0000 0.0000 0.5000 [4 per cell]

=====

Tell me which of them is the most stable. Sure, it is arrangement two.